VASP calculation (PBE) on a relaxed structure of Cs2PrCd2S4.

```
data_Cs2PrCd2S4
_chemical_formula_sum 'Cs4 Pr2 Cd4 S8'
_space_group_name_H-M_alt 'C 1 2/m 1'
_space_group_IT_number 12
_cell_length_a 16.816
_cell_length_b 4.180
_cell_length_c 8.585
_cell_angle_alpha 90.00
_cell_angle_beta 112.49
_cell_angle_gamma 90.00
loop_
_space_group_symop_operation_xyz
'x,y,z'
'-x,-y,-z'
'-x,y,-z'
'x,-y,z'
'x+1/2,y+1/2,z'
'-x+1/2,-y+1/2,-z'
'-x+1/2,y+1/2,-z'
'x+1/2,-y+1/2,z'
loop_
_atom_site_label
_atom_site_type_symbol
_atom_site_fract_x
_atom_site_fract_y
_atom_site_fract_z
Cs1 Cs 0.127 0.000 0.057
Pr1 Pr 0.000 0.000 0.500
Cd1 Cd 0.185 0.500 0.517
S1 S 0.029 0.500 0.293
S2 S 0.184 0.000 0.704
```

Output
E_form (uncorrected) in eV/atom: -1.125